# 1
Computed, not measured: Tl3CuSe after structural relaxation at the PBE level of DFT.

## Properties
Uncorrected energy: -2.439 eV/atom
E_form (uncorrected): 0.496 eV per atom

Cell and atoms, written as POSCAR:
```
Tl3CuSe
1.0
6.064 0.000 0.000
0.000 6.064 0.000
0.000 0.000 6.064
Tl Cu Se
3 1 1
Cartesian
0.000 0.000 3.032
0.000 3.032 0.000
3.032 0.000 0.000
3.032 3.032 3.032
0.000 0.000 0.000
```

# 2
Computed, not measured: Tl2CuSe after structural relaxation at the PBE level of DFT.

## Properties
Uncorrected energy: -3.147 eV/atom
E_form (uncorrected): -0.069 eV per atom

Cell and atoms, written as POSCAR:
```
Tl2CuSe
1.0
-1.969 2.039 6.983
1.969 -2.039 6.983
1.969 2.039 -6.983
Tl Cu Se
2 1 1
Cartesian
0.000 0.000 0.000
0.000 2.039 2.973
0.000 0.000 5.837
1.969 0.000 4.496
```

# 3
Computed, not measured: TlCu2Se2 after structural relaxation at the PBE level of DFT.

## Properties
Uncorrected energy: -3.696 eV/atom
E_form (uncorrected): -0.190 eV per atom

Cell and atoms, written as POSCAR:
```
TlCu2Se2
1.0
0.000 5.285 5.449
3.963 0.000 5.449
3.963 5.285 0.000
Tl Cu Se
2 4 4
Cartesian
0.991 1.321 1.362
6.935 9.248 9.535
2.972 2.629 4.086
4.953 5.272 6.811
2.972 5.298 4.086
4.953 7.940 6.811
2.972 3.964 2.012
4.953 6.606 4.736
2.972 3.964 6.161
4.953 6.606 8.885
```

Which formula does entry 1 have?
Tl3CuSe

What is the uncorrected energy in the second record?
-3.147 eV/atom